1.
DFT (GGA-PBE) results for a relaxed structure of InMoPt2.

The value obtained for the total moment is 0.000 μB/f.u. The calculation puts the density of states at the Fermi level at 0.68 states/eV/atom. For the energy of formation, the calculation gives -209 meV/atom.

a b c (Å): 4.0363 2.8861 6.4264
angles (deg): 63.29 90.00 90.00
Closest atoms and distances in Å follow each position.
Fractional coordinates of all 4 atoms:
Pt (0.0000, 0.4845, 0.5159)  3 Pt 2.69-2.89, 4 Mo 2.82, 4 In 2.91
Pt (0.0000, 0.0155, 0.9841)  3 Pt 2.69-2.89, 4 Mo 2.82, 4 In 2.91
Mo (0.5000, 0.7500, 0.7500)  8 Pt 2.82, 2 In 2.87, 2 Mo 2.89
In (0.5000, 0.2500, 0.2500)  2 Mo 2.87, 2 In 2.89, 8 Pt 2.91

---

2.
DFT (GGA-PBE) results for a relaxed structure of Sr2RhPbN.

The value obtained for the total moment is 0.000 μB/f.u. The calculation puts the density of states at the Fermi level at 0.69 states/eV/atom. Its formation energy from raw total energies is -0.468 eV per atom.

a b c (Å): 5.6494 5.6494 3.8389
angles (deg): 90.00 90.00 90.00
Closest atoms and distances in Å follow each position.
Fractional coordinates of all 5 atoms:
N (0.0000, 0.0000, 0.0000)  2 Rh 1.92
Sr (0.0000, 0.5000, 0.0000)  2 N 2.82
Sr (0.5000, 0.0000, 0.0000)  2 N 2.82
Pb (0.5000, 0.5000, 0.5000)  8 Sr 3.42
Rh (0.0000, 0.0000, 0.5000)  2 N 1.92